The following is a DFT calculation (PBE-GGA) of crystalline BeCrOsCl2 at its relaxed geometry.

Values from the calculation:
Density of states at the Fermi level   7.1 states/eV per cell
Crystal system   tetragonal

abc: 3.8363 3.8363 8.5944
angles: 90.00 90.00 90.00
Fractional positions:
Be 0.0000 0.0000 0.0000
Cr 0.0000 0.0000 0.5000
Os 0.5000 0.5000 0.5000
Cl 0.0000 0.5000 0.0000
Cl 0.5000 0.0000 0.0000

The following is a DFT calculation (PBE-GGA) of crystalline BeCr2RuCl at its relaxed geometry.

Values from the calculation:
Density of states at the Fermi level   3.8 states/eV per cell
Crystal system   tetragonal

abc: 4.7342 4.7342 4.3050
angles: 90.00 90.00 90.00
Fractional positions:
Be 0.0000 0.0000 0.0000
Cr 0.0000 0.5000 0.5000
Cr 0.5000 0.0000 0.5000
Ru 0.0000 0.0000 0.5000
Cl 0.5000 0.5000 0.0000

The following is a DFT calculation (PBE-GGA) of crystalline BeCrS2Cl at its relaxed geometry.

Values from the calculation:
Density of states at the Fermi level   3.3 states/eV per cell
Polymorph energy (0 for the lowest one)   0.000 eV/atom
Crystal system   tetragonal

abc: 4.3859 4.3859 4.4223
angles: 90.00 90.00 90.00
Fractional positions:
Be 0.0000 0.0000 0.0000
Cr 0.5000 0.5000 0.5000
S 0.0000 0.5000 0.0000
S 0.5000 0.0000 0.0000
Cl 0.0000 0.0000 0.5000

The following is a DFT calculation (PBE-GGA) of crystalline BeCrS2Cl at its relaxed geometry.

Values from the calculation:
Density of states at the Fermi level   4.1 states/eV per cell
Polymorph energy (0 for the lowest one)   0.243 eV/atom
Crystal system   tetragonal

abc: 4.5982 4.5982 4.6268
angles: 90.00 90.00 90.00
Fractional positions:
Be 0.0000 0.0000 0.0000
Cr 0.5000 0.5000 0.5000
S 0.0000 0.5000 0.5000
S 0.5000 0.0000 0.5000
Cl 0.5000 0.5000 0.0000

The following is a DFT calculation (PBE-GGA) of crystalline CsBeCl3 at its relaxed geometry.

Values from the calculation:
Density of states at the Fermi level   0.0 states/eV per cell
Polymorph energy (0 for the lowest one)   0.422 eV/atom
Crystal system   cubic

abc: 4.8479 4.8479 4.8479
angles: 90.00 90.00 90.00
Fractional positions:
Cs 0.0000 0.0000 0.0000
Be 0.5000 0.5000 0.5000
Cl 0.0000 0.5000 0.5000
Cl 0.5000 0.0000 0.5000
Cl 0.5000 0.5000 0.0000

The following is a DFT calculation (PBE-GGA) of crystalline Cs2Be2Cl at its relaxed geometry.

Values from the calculation:
Density of states at the Fermi level   7.8 states/eV per cell
Polymorph energy (0 for the lowest one)   0.000 eV/atom
Crystal system   tetragonal

abc: 9.3649 9.3649 4.3067
angles: 90.00 90.00 90.00
Fractional positions:
Cs 0.2095 0.2905 0.0000
Cs 0.2905 0.7905 0.0000
Cs 0.7095 0.2095 0.0000
Cs 0.7905 0.7095 0.0000
Be 0.0804 0.5804 0.5000
Be 0.4196 0.0804 0.5000
Be 0.5804 0.9196 0.5000
Be 0.9196 0.4196 0.5000
Cl 0.0000 0.0000 0.5000
Cl 0.5000 0.5000 0.5000

The following is a DFT calculation (PBE-GGA) of crystalline CsBeCl3 at its relaxed geometry.

Values from the calculation:
Density of states at the Fermi level   0.0 states/eV per cell
Polymorph energy (0 for the lowest one)   0.008 eV/atom
Crystal system   orthorhombic

abc: 8.2452 8.2452 5.9550
angles: 90.00 90.00 127.97
Fractional positions:
Cs 0.1477 0.8523 0.5000
Cs 0.8523 0.1477 0.0000
Be 0.4287 0.5713 0.5775
Be 0.5713 0.4287 0.0775
Cl 0.1311 0.4055 0.5020
Cl 0.4055 0.1311 0.0020
Cl 0.4434 0.5566 0.9358
Cl 0.5566 0.4434 0.4358
Cl 0.5945 0.8689 0.5020
Cl 0.8689 0.5945 0.0020

The following is a DFT calculation (PBE-GGA) of crystalline Cs2Be2Cl at its relaxed geometry.

Values from the calculation:
Density of states at the Fermi level   3.3 states/eV per cell
Polymorph energy (0 for the lowest one)   0.106 eV/atom
Crystal system   tetragonal

abc: 6.7175 6.7175 6.7175
angles: 120.61 120.61 88.95
Fractional positions:
Cs 0.2500 0.7500 0.5000
Cs 0.7500 0.2500 0.5000
Be 0.1123 0.1123 0.0000
Be 0.8877 0.8877 0.0000
Cl 0.5000 0.5000 0.0000

Listing E_tot for the structures above in their given order: -4.404, -5.914, -4.587, -4.344, -3.327, -1.849, -3.741, -1.744 eV per atom.